No. 1
PBE Cd4AgPd7, relaxed; V = 16.95 Å³/atom; total energy = -3.84 eV per atom; formation energy from the elements = -3.19 eV/f.u.; magnetization = 0.00 Bohr magnetons per cell; symmetry = P-1 (2)
1.0
5.397 1.406 1.213
3.959 6.132 2.347
-0.292 0.622 7.524
Cd Ag Pd
4 1 7
Direct
0.491 0.674 0.328 Cd
0.509 0.326 0.672 Cd
0.749 0.822 0.676 Cd
0.251 0.178 0.324 Cd
0.000 0.000 0.000 Ag
0.751 0.496 0.999 Pd
0.249 0.504 0.001 Pd
0.005 0.329 0.665 Pd
0.995 0.671 0.335 Pd
0.252 0.827 0.666 Pd
0.500 0.000 0.000 Pd
0.748 0.173 0.334 Pd

No. 2
PBE Pa2Bi8Pb, relaxed; V = 32.27 Å³/atom; total energy = -4.81 eV per atom; formation energy from the elements = 0.84 eV/f.u.; magnetization = 0.70 Bohr magnetons per cell; symmetry = C2/m (12)
1.0
-3.977 -3.718 2.968
0.621 -9.371 1.030
4.222 -3.717 6.968
Pa Bi Pb
2 8 1
Direct
0.000 0.305 0.389 Pa
0.000 0.695 0.611 Pa
0.916 0.096 0.236 Bi
0.916 0.332 0.764 Bi
0.330 0.392 0.000 Bi
0.500 0.770 0.461 Bi
0.500 0.230 0.539 Bi
0.670 0.608 0.000 Bi
0.084 0.668 0.236 Bi
0.084 0.904 0.764 Bi
0.500 0.000 0.000 Pb

Repeat the second record exactly.
PBE Pa2Bi8Pb, relaxed; V = 32.27 Å³/atom; total energy = -4.81 eV per atom; formation energy from the elements = 0.84 eV/f.u.; magnetization = 0.70 Bohr magnetons per cell; symmetry = C2/m (12)
1.0
-3.977 -3.718 2.968
0.621 -9.371 1.030
4.222 -3.717 6.968
Pa Bi Pb
2 8 1
Direct
0.000 0.305 0.389 Pa
0.000 0.695 0.611 Pa
0.916 0.096 0.236 Bi
0.916 0.332 0.764 Bi
0.330 0.392 0.000 Bi
0.500 0.770 0.461 Bi
0.500 0.230 0.539 Bi
0.670 0.608 0.000 Bi
0.084 0.668 0.236 Bi
0.084 0.904 0.764 Bi
0.500 0.000 0.000 Pb